Entry 1:
A plane-wave DFT calculation with GGA-PBE was carried out for crystalline GaCu2Rh2 at its relaxed geometry.

Results
Total magnetic moment in μB per formula unit: 0.00
DFT formation energy in meV per atom: 51

Cell and atoms, written as CIF:
```
data_GaCu2Rh2
_space_group_name_H-M_alt 'P 4/m b m'
_space_group_IT_number 127
_space_group_name_Hall '-P 4 2ab'
_cell_length_a 6.506
_cell_length_b 6.506
_cell_length_c 3.306
_cell_angle_alpha 90.00
_cell_angle_beta 90.00
_cell_angle_gamma 90.00
loop_
_atom_site_label
_atom_site_fract_x
_atom_site_fract_y
_atom_site_fract_z
_atom_site_occupancy
Ga1 0.000 0.000 0.000 1
Cu1 0.132 0.368 0.000 1
Rh1 0.166 0.666 0.500 1
```

=====

Entry 2:
A plane-wave DFT calculation with GGA-PBE was carried out for crystalline Ga2Cu2Rh3 at its relaxed geometry.

Results
Total magnetic moment in μB per formula unit: 0.00
DFT formation energy in meV per atom: -255

Cell and atoms, written as CIF:
```
data_Ga2Cu2Rh3
_space_group_name_H-M_alt 'P -1'
_space_group_IT_number 2
_cell_length_a 4.213
_cell_length_b 4.218
_cell_length_c 7.125
_cell_angle_alpha 106.31
_cell_angle_beta 90.85
_cell_angle_gamma 119.90
loop_
_space_group_symop_operation_xyz
'x,y,z'
'-x,-y,-z'
loop_
_atom_site_label
_atom_site_fract_x
_atom_site_fract_y
_atom_site_fract_z
_atom_site_occupancy
Ga1 0.110 0.228 0.337 1
Cu1 0.363 0.744 0.104 1
Rh1 0.249 0.487 0.737 1
Rh2 0.500 0.000 0.500 1
```

=====

Entry 3:
A plane-wave DFT calculation with GGA-PBE was carried out for crystalline Ga6CuRh3 at its relaxed geometry.

Results
Total magnetic moment in μB per formula unit: 0.00
DFT formation energy in meV per atom: -339

Cell and atoms, written as CIF:
```
data_Ga6CuRh3
_space_group_name_H-M_alt 'P 1 21/c 1'
_space_group_IT_number 14
_cell_length_a 6.486
_cell_length_b 6.473
_cell_length_c 9.910
_cell_angle_alpha 90.00
_cell_angle_beta 129.02
_cell_angle_gamma 90.00
loop_
_space_group_symop_operation_xyz
'x,y,z'
'-x,-y,-z'
'-x,y+1/2,-z+1/2'
'x,-y+1/2,z+1/2'
loop_
_atom_site_label
_atom_site_fract_x
_atom_site_fract_y
_atom_site_fract_z
_atom_site_occupancy
Ga1 0.026 0.047 0.258 1
Ga2 0.213 0.651 0.066 1
Ga3 0.409 0.149 0.064 1
Cu1 0.500 0.000 0.500 1
Rh1 0.000 0.000 0.000 1
Rh2 0.306 0.173 0.760 1
```

=====

Entry 4:
A plane-wave DFT calculation with GGA-PBE was carried out for crystalline Ga2Cu2Rh at its relaxed geometry.

Results
Total magnetic moment in μB per formula unit: 0.00
DFT formation energy in meV per atom: -117

Cell and atoms, written as CIF:
```
data_Ga2Cu2Rh
_space_group_name_H-M_alt 'P 4/m b m'
_space_group_IT_number 127
_space_group_name_Hall '-P 4 2ab'
_cell_length_a 6.904
_cell_length_b 6.904
_cell_length_c 2.873
_cell_angle_alpha 90.00
_cell_angle_beta 90.00
_cell_angle_gamma 90.00
loop_
_atom_site_label
_atom_site_fract_x
_atom_site_fract_y
_atom_site_fract_z
_atom_site_occupancy
Ga1 0.177 0.323 0.000 1
Cu1 0.124 0.624 0.500 1
Rh1 0.000 0.000 0.500 1
```

=====

Entry 5:
A plane-wave DFT calculation with GGA-PBE was carried out for crystalline Ga6Cu5Rh at its relaxed geometry.

Results
Total magnetic moment in μB per formula unit: 0.00
DFT formation energy in meV per atom: -105

Cell and atoms, written as CIF:
```
data_Ga6Cu5Rh
_space_group_name_H-M_alt 'C 1 2/m 1'
_space_group_IT_number 12
_cell_length_a 8.469
_cell_length_b 8.457
_cell_length_c 4.869
_cell_angle_alpha 90.00
_cell_angle_beta 102.16
_cell_angle_gamma 90.00
loop_
_space_group_symop_operation_xyz
'x,y,z'
'-x,-y,-z'
'-x,y,-z'
'x,-y,z'
'x+1/2,y+1/2,z'
'-x+1/2,-y+1/2,-z'
'-x+1/2,y+1/2,-z'
'x+1/2,-y+1/2,z'
loop_
_atom_site_label
_atom_site_fract_x
_atom_site_fract_y
_atom_site_fract_z
_atom_site_occupancy
Ga1 0.245 0.000 0.250 1
Ga2 0.248 0.167 0.749 1
Cu1 0.000 0.175 0.000 1
Cu2 0.000 0.340 0.500 1
Cu3 0.000 0.500 0.000 1
Rh1 0.000 0.000 0.500 1
```

=====

Entry 6:
A plane-wave DFT calculation with GGA-PBE was carried out for crystalline Ga7Cu2Rh2 at its relaxed geometry.

Results
Total magnetic moment in μB per formula unit: 0.00
DFT formation energy in meV per atom: -202

Cell and atoms, written as CIF:
```
data_Ga7Cu2Rh2
_space_group_name_H-M_alt 'C m m m'
_space_group_IT_number 65
_space_group_name_Hall '-C 2 2'
_cell_length_a 6.250
_cell_length_b 8.674
_cell_length_c 6.761
_cell_angle_alpha 90.00
_cell_angle_beta 90.00
_cell_angle_gamma 90.00
loop_
_atom_site_label
_atom_site_fract_x
_atom_site_fract_y
_atom_site_fract_z
_atom_site_occupancy
Ga1 0.000 0.000 0.000 1
Ga2 0.000 0.500 0.255 1
Ga3 0.250 0.250 0.300 1
Cu1 0.197 0.000 0.500 1
Rh1 0.000 0.283 0.000 1
```

=====

Entry 7:
A plane-wave DFT calculation with GGA-PBE was carried out for crystalline Ga6Cu2Rh at its relaxed geometry.

Results
Total magnetic moment in μB per formula unit: 0.00
DFT formation energy in meV per atom: -67

Cell and atoms, written as CIF:
```
data_Ga6Cu2Rh
_space_group_name_H-M_alt 'P 42/m n m'
_space_group_IT_number 136
_space_group_name_Hall '-P 4n 2n'
_cell_length_a 6.228
_cell_length_b 6.228
_cell_length_c 8.928
_cell_angle_alpha 90.00
_cell_angle_beta 90.00
_cell_angle_gamma 90.00
loop_
_atom_site_label
_atom_site_fract_x
_atom_site_fract_y
_atom_site_fract_z
_atom_site_occupancy
Ga1 0.218 0.218 0.000 1
Ga2 0.229 0.229 0.337 1
Cu1 0.000 0.000 0.179 1
Rh1 0.000 0.000 0.500 1
```

=====

Entry 8:
A plane-wave DFT calculation with GGA-PBE was carried out for crystalline GaCu2Rh at its relaxed geometry.

Results
Total magnetic moment in μB per formula unit: 0.00
DFT formation energy in meV per atom: -315

Cell and atoms, written as CIF:
```
data_GaCu2Rh
_space_group_name_H-M_alt 'P 4/m m m'
_space_group_IT_number 123
_space_group_name_Hall '-P 4 2'
_cell_length_a 3.647
_cell_length_b 3.647
_cell_length_c 3.952
_cell_angle_alpha 90.00
_cell_angle_beta 90.00
_cell_angle_gamma 90.00
loop_
_atom_site_label
_atom_site_fract_x
_atom_site_fract_y
_atom_site_fract_z
_atom_site_occupancy
Ga1 0.000 0.000 0.000 1
Cu1 0.000 0.500 0.500 1
Rh1 0.500 0.500 0.000 1
```

=====

Look up the total magnetic moment of the fourth one. 0.00 μB per formula unit

=====

Which of these has the highest DFT formation energy? GaCu2Rh2